Material: Li3CeSm2S6
Method: DFT, PBE
State: optimized geometry

Cell: 6.966 6.966 6.611 Å, 100.10 100.10 120.01°
Last column: magnetic moment on the atom in μB.
Positions (direct):
Ce 0.000 0.000 0.000  0.86
Sm 0.667 0.333 0.000  0.02
Sm 0.333 0.667 0.000  0.02
Li 0.500 0.500 0.500  0.00
Li 0.831 0.169 0.500  0.00
Li 0.169 0.831 0.500  0.00
S 0.085 0.420 0.255  -0.01
S 0.250 0.250 0.745  -0.01
S 0.915 0.580 0.745  -0.01
S 0.750 0.750 0.255  -0.01
S 0.420 0.085 0.255  -0.01
S 0.580 0.915 0.745  -0.01

Calculated values
**Space group**: C2/m (12)
**Raw formation energy**: -1776 meV/atom
**Crystal system**: monoclinic

Material: Hf2TlHg
Method: DFT, PBE
State: optimized geometry

Cell: 3.169 3.169 8.627 Å, 90.00 90.00 90.00°
Positions (direct):
Tl 0.500 0.500 0.500
Hg 0.500 0.500 0.000
Hf 0.000 0.000 0.758
Hf 0.000 0.000 0.242

Calculated values
**Space group**: P4/mmm (123)
**Calculated formation energy**: 0.044 eV per atom
**Crystal system**: tetragonal

Material: LaMnCu2
Method: DFT, PBE
State: optimized geometry

Cell: 5.530 5.530 5.530 Å, 45.54 45.54 45.54°
Last column: magnetic moment on the atom in μB.
Positions (direct):
La 0.250 0.250 0.250  0.11
Cu 0.449 0.449 0.449  -0.09
Cu 0.051 0.051 0.051  -0.09
Mn 0.750 0.750 0.750  -3.54

Calculated values
**Space group**: R-3m (166)
**Calculated formation energy**: -0.006 eV per atom
**Crystal system**: trigonal

Computed values of DOS at the Fermi energy (unit: states/eV per cell) for the preceding records, in sequence: 5.47, 3.36, 3.44.